Entry 1:
Density functional theory data (GGA-PBE) for TeHOsN2 after structural relaxation.

Calculated values
E (eV/atom): -6.01
Magnetic moment (μB per atom): 0.048
Energy relative to the lowest polymorph listed for this composition (eV per atom): 0.000

Cell lengths 3.7362, 3.7362, 5.7593 Å; angles 90.00, 90.00, 90.00 degrees
Space group P4/mmm (No. 123)
Unique sites:
Te 0.0000 0.0000 0.0000 (multiplicity 1)
H 0.5000 0.5000 0.0000 (multiplicity 1)
Os 0.0000 0.0000 0.5000 (multiplicity 1)
N 0.0000 0.5000 0.5000 (multiplicity 2)

Entry 2:
Density functional theory data (GGA-PBE) for CuTc2Ag after structural relaxation.

Calculated values
E (eV/atom): -6.14
Magnetic moment (μB per atom): 0.000
Calculated formation energy (eV per atom): 0.78
Energy relative to the lowest polymorph listed for this composition (eV per atom): 0.509

Cell lengths 6.1764, 6.1764, 6.1764 Å; angles 90.00, 90.00, 90.00 degrees
Space group Fm-3m (No. 225)
Unique sites:
Cu 0.0000 0.0000 0.0000 (multiplicity 4)
Tc 0.2500 0.2500 0.2500 (multiplicity 8)
Ag 0.0000 0.0000 0.5000 (multiplicity 4)

Entry 3:
Density functional theory data (GGA-PBE) for Er4TeAsPb2 after structural relaxation.

Calculated values
E (eV/atom): -5.07
Magnetic moment (μB per atom): 0.000
Formation energy (no corrections) (eV/atom): -0.89

Cell lengths 7.1980, 4.2220, 7.8291 Å; angles 90.00, 108.22, 90.00 degrees
Space group P2/m (No. 10)
Unique sites:
Er 0.2290 0.0000 0.2268 (multiplicity 2)
Er 0.2368 0.5000 0.7598 (multiplicity 2)
Te 0.5000 0.0000 0.0000 (multiplicity 1)
As 0.0000 0.5000 0.0000 (multiplicity 1)
Pb 0.0000 0.0000 0.5000 (multiplicity 1)
Pb 0.5000 0.5000 0.5000 (multiplicity 1)

Entry 4:
Density functional theory data (GGA-PBE) for KNaIn6 after structural relaxation.

Calculated values
E (eV/atom): -2.41
Magnetic moment (μB per atom): 0.000
Calculated formation energy (eV per atom): -0.05

Cell lengths 5.1625, 7.3233, 6.2032 Å; angles 90.00, 90.00, 90.00 degrees
Space group Pmm2 (No. 25)
Unique sites:
K 0.0000 0.0000 0.0000 (multiplicity 1)
Na 0.5000 0.5000 0.2812 (multiplicity 1)
In 0.0000 0.2749 0.4831 (multiplicity 2)
In 0.0000 0.5000 0.9580 (multiplicity 1)
In 0.5000 0.0000 0.4070 (multiplicity 1)
In 0.5000 0.2786 0.7964 (multiplicity 2)